[1]
{
  "formula": "Ba2PuSnS5",
  "functional": "GGA-PBE",
  "state": "relaxed",
  "cell": [[4.377, 0.000, 0.000], [-2.189, 8.902, 0.000], [0.000, 0.000, 12.931]],
  "species": ["S", "S", "S", "S", "S", "S", "S", "S", "S", "S", "Ba", "Ba", "Ba", "Ba", "Sn", "Sn", "Pu", "Pu"],
  "fractional_positions": [[0.632, 0.265, 0.503], [0.947, 0.894, 0.551], [0.506, 0.013, 0.278], [0.712, 0.424, 0.145], [0.053, 0.106, 0.051], [0.312, 0.625, 0.374], [0.288, 0.576, 0.645], [0.688, 0.375, 0.874], [0.368, 0.735, 0.003], [0.494, 0.987, 0.778], [0.139, 0.278, 0.301], [0.861, 0.722, 0.801], [0.884, 0.768, 0.197], [0.116, 0.232, 0.697], [0.515, 0.030, 0.967], [0.485, 0.970, 0.467], [0.210, 0.420, 0.008], [0.790, 0.580, 0.508]],
  "crystal_system": "orthorhombic",
  "spacegroup": "Cmc2_1 (36)",
  "dft_energy_ev_per_atom": -6.24,
  "n_ef_per_ev_cell": 25.3
}


[2]
{
  "formula": "BaPu2TaS8",
  "functional": "GGA-PBE",
  "state": "relaxed",
  "cell": [[-5.409, 3.222, 0.560], [-1.896, -3.806, 4.247], [3.477, 4.822, 5.895]],
  "species": ["S", "S", "S", "S", "S", "S", "S", "S", "Ba", "Pu", "Pu", "Ta"],
  "fractional_positions": [[0.835, 0.235, 0.197], [0.591, 0.736, 0.500], [0.836, 0.236, 0.802], [0.681, 0.733, 0.000], [0.165, 0.765, 0.803], [0.409, 0.264, 0.500], [0.319, 0.267, 0.000], [0.164, 0.764, 0.198], [0.000, 0.000, 0.500], [0.500, 0.500, 0.244], [0.500, 0.500, 0.756], [0.000, 0.000, 0.000]],
  "crystal_system": "triclinic",
  "spacegroup": "P-1 (2)",
  "dft_energy_ev_per_atom": -7.42,
  "n_ef_per_ev_cell": 17.7
}


Raw formation energy in meV/atom, matching the order above: -1480; -1131
Size of the total moment in μB per cell, matching the order above: 10.32; 6.99